Record 1
## LaTa2Ni (PBE-GGA)

Data for a relaxed structure of LaTa2Ni.

Computed properties:
- Space group: P4mm (99)
- Spin magnetization: 0.000 μB per atom

abc: 3.151 3.151 8.085
angles: 90.00 90.00 90.00
Positions (direct):
La: 0.000 0.000 0.000
Ta: 0.000 0.000 0.451
Ta: 0.500 0.500 0.685
Ni: 0.500 0.500 0.290

Record 2
## LaTa3Ni (PBE-GGA)

Data for a relaxed structure of LaTa3Ni.

Computed properties:
- Space group: Pm-3m (221)
- Spin magnetization: 0.000 μB per atom

abc: 4.777 4.777 4.777
angles: 90.00 90.00 90.00
Positions (direct):
La: 0.000 0.000 0.000
Ta: 0.000 0.500 0.500
Ta: 0.500 0.000 0.500
Ta: 0.500 0.500 0.000
Ni: 0.500 0.500 0.500

Table of ΔH_f (0 K) (kJ/mol of formula units), in record order: 47 374
Table of offset from the most stable computed form (kJ/mol of atoms), in record order: 0.0 0.0